Record 1
An optimized crystal structure of Sc2TiRe. Source: Alexandria, functional PBE.

Summary:
Crystal system   cubic
Energy relative to the elements   0.147 eV/atom
Relative energy among the computed polymorphs   0.00 eV/f.u.
Total magnetic moment   0.00 μB/cell
Density of states at the Fermi level   2.573 states/eV per atom

Cell: 4.7055 4.7055 4.7055 Å, 60.00 60.00 60.00°
Last column: nearest neighbours and their distance in Å.
Positions (direct):
Sc  0.2500  0.2500  0.2500  4 Re 2.88, 4 Ti 2.88
Sc  0.7500  0.7500  0.7500  4 Re 2.88, 4 Ti 2.88
Re  0.5000  0.5000  0.5000  8 Sc 2.88
Ti  0.0000  0.0000  0.0000  8 Sc 2.88


Record 2
An optimized crystal structure of Zn12Cu6Au. Source: Alexandria, functional PBE.

Summary:
Crystal system   trigonal
Energy relative to the elements   -0.020 eV/atom
Relative energy among the computed polymorphs   1.06 eV/f.u.
Total magnetic moment   0.00 μB/cell
Density of states at the Fermi level   0.275 states/eV per atom

Cell: 6.6480 6.6480 6.6480 Å, 101.98 101.98 101.98°
Last column: nearest neighbours and their distance in Å.
Positions (direct):
Zn  0.8093  0.4205  0.4193  6 Zn 2.45-2.73, 3 Cu 2.66-2.70
Zn  0.4193  0.8093  0.4205  6 Zn 2.45-2.73, 3 Cu 2.66-2.70
Zn  0.4205  0.4193  0.8093  6 Zn 2.45-2.73, 3 Cu 2.66-2.70
Zn  0.1907  0.5795  0.5807  6 Zn 2.45-2.73, 3 Cu 2.66-2.70
Zn  0.5807  0.1907  0.5795  6 Zn 2.45-2.73, 3 Cu 2.66-2.70
Zn  0.5795  0.5807  0.1907  6 Zn 2.45-2.73, 3 Cu 2.66-2.70
Zn  0.9996  0.7375  0.2627  4 Cu 2.58-2.76, 6 Zn 2.67-2.75, 1 Au 2.71
Zn  0.2625  0.7373  0.0004  4 Cu 2.58-2.76, 6 Zn 2.67-2.75, 1 Au 2.71
Zn  0.7373  0.0004  0.2625  4 Cu 2.58-2.76, 6 Zn 2.67-2.75, 1 Au 2.71
Zn  0.0004  0.2625  0.7373  4 Cu 2.58-2.76, 6 Zn 2.67-2.75, 1 Au 2.71
Zn  0.7375  0.2627  0.9996  4 Cu 2.58-2.76, 6 Zn 2.67-2.75, 1 Au 2.71
Zn  0.2627  0.9996  0.7375  4 Cu 2.58-2.76, 6 Zn 2.67-2.75, 1 Au 2.71
Cu  0.8289  0.8303  0.5725  7 Zn 2.58-2.76, 2 Cu 2.66, 1 Au 2.73
Cu  0.4275  0.1711  0.1697  7 Zn 2.58-2.76, 2 Cu 2.66, 1 Au 2.73
Cu  0.1697  0.4275  0.1711  7 Zn 2.58-2.76, 2 Cu 2.66, 1 Au 2.73
Cu  0.1711  0.1697  0.4275  7 Zn 2.58-2.76, 2 Cu 2.66, 1 Au 2.73
Cu  0.5725  0.8289  0.8303  7 Zn 2.58-2.76, 2 Cu 2.66, 1 Au 2.73
Cu  0.8303  0.5725  0.8289  7 Zn 2.58-2.76, 2 Cu 2.66, 1 Au 2.73
Au  0.0000  0.0000  0.0000  6 Zn 2.71, 6 Cu 2.73


Record 3
An optimized crystal structure of YHCO4. Source: Alexandria, functional PBE.

Summary:
Crystal system   orthorhombic
VASP energy   -215.8 eV per cell
Total magnetic moment   0.00 μB/cell
Density of states at the Fermi level   0.000 states/eV per atom

Cell: 4.8430 7.0728 8.7594 Å, 90.00 90.00 90.00°
Last column: nearest neighbours and their distance in Å.
Positions (direct):
C  0.5107  0.4530  0.1645  3 O 1.29-1.30
C  0.9893  0.5470  0.6645  3 O 1.29-1.30
C  0.4893  0.9530  0.3355  3 O 1.29-1.30
C  0.0107  0.0470  0.8355  3 O 1.29-1.30
H  0.8748  0.7616  0.0391  1 O 0.98
H  0.6252  0.2384  0.5391  1 O 0.98
H  0.1252  0.2616  0.4609  1 O 0.98
H  0.3748  0.7384  0.9609  1 O 0.98
O  0.3119  0.3825  0.0834  1 C 1.30
O  0.1881  0.6175  0.5834  1 C 1.30
O  0.6881  0.8825  0.4166  1 C 1.30
O  0.8119  0.1175  0.9166  1 C 1.30
O  0.4658  0.5561  0.2831  1 C 1.29
O  0.0342  0.4439  0.7831  1 C 1.29
O  0.5342  0.0561  0.2169  1 C 1.29
O  0.9658  0.9439  0.7169  1 C 1.29
O  0.7638  0.4257  0.1207  1 C 1.30
O  0.7362  0.5743  0.6207  1 C 1.30
O  0.2362  0.9257  0.3793  1 C 1.30
O  0.2638  0.0743  0.8793  1 C 1.30
O  0.0000  0.8043  0.1199  1 H 0.98
O  0.5000  0.1957  0.6199  1 H 0.98
O  0.0000  0.3043  0.3801  1 H 0.98
O  0.5000  0.6957  0.8801  1 H 0.98
Y  0.0245  0.1237  0.1663  6 O 2.27-2.51
Y  0.4755  0.8763  0.6663  6 O 2.27-2.51
Y  0.9755  0.6237  0.3337  6 O 2.27-2.51
Y  0.5245  0.3763  0.8337  6 O 2.27-2.51


Record 4
An optimized crystal structure of LaSc3H. Source: Alexandria, functional PBE.

Summary:
Crystal system   cubic
Relative energy among the computed polymorphs   0.00 eV/f.u.
Total magnetic moment   0.00 μB/cell
Density of states at the Fermi level   0.735 states/eV per atom

Cell: 4.7377 4.7377 4.7377 Å, 90.00 90.00 90.00°
Last column: nearest neighbours and their distance in Å.
Positions (direct):
Sc  0.0000  0.5000  0.0000  2 H 2.37
Sc  0.0000  0.0000  0.5000  2 H 2.37
Sc  0.5000  0.0000  0.0000  2 H 2.37
H  0.0000  0.0000  0.0000  6 Sc 2.37
La  0.5000  0.5000  0.5000  12 Sc 3.35


Record 5
An optimized crystal structure of AcCuTeO. Source: Alexandria, functional PBE.

Summary:
Crystal system   trigonal
ΔE_f (raw)   -1.785 eV/atom
Total magnetic moment   0.00 μB/cell
Density of states at the Fermi level   0.009 states/eV per atom

Cell: 4.3012 4.3012 11.6380 Å, 79.35 79.35 60.00°
Last column: nearest neighbours and their distance in Å.
Positions (direct):
Ac  0.1208  0.1208  0.6377  4 O 2.47-2.57
Ac  0.8792  0.8792  0.3623  4 O 2.47-2.57
Cu  0.6938  0.6938  0.9185  4 Te 2.62-2.68
Cu  0.3062  0.3062  0.0815  4 Te 2.62-2.68
Te  0.6153  0.6153  0.1542  4 Cu 2.62-2.68
Te  0.3847  0.3847  0.8458  4 Cu 2.62-2.68
O  0.8069  0.8069  0.5793  4 Ac 2.47-2.57
O  0.1931  0.1931  0.4207  4 Ac 2.47-2.57


Record 6
An optimized crystal structure of Cs2Sc2Bi2S. Source: Alexandria, functional PBE.

Summary:
Crystal system   tetragonal
ΔE_f (raw)   -0.953 eV/atom
Total magnetic moment   0.00 μB/cell
Density of states at the Fermi level   0.365 states/eV per atom

Cell: 5.0225 5.0225 10.6854 Å, 103.59 103.59 90.00°
Last column: nearest neighbours and their distance in Å.
Positions (direct):
Cs  0.1767  0.1767  0.3534  1 S 3.56, 4 Bi 3.89
Cs  0.8233  0.8233  0.6466  1 S 3.56, 4 Bi 3.89
Sc  0.0000  0.5000  0.0000  2 S 2.51
Sc  0.5000  0.0000  0.0000  2 S 2.51
Bi  0.4016  0.4016  0.8033  4 Sc 3.20
Bi  0.5984  0.5984  0.1967  4 Sc 3.20
S  0.0000  0.0000  0.0000  4 Sc 2.51


Record 7
An optimized crystal structure of KBaHgSb. Source: Alexandria, functional PBE.

Summary:
Crystal system   cubic
ΔE_f (raw)   -0.669 eV/atom
Total magnetic moment   0.00 μB/cell

Cell: 5.9216 5.9216 5.9216 Å, 60.00 60.00 60.00°
Last column: nearest neighbours and their distance in Å.
Positions (direct):
Sb  0.0000  0.0000  0.0000  4 Ba 3.63, 4 K 3.63
K  0.7500  0.7500  0.7500  4 Hg 3.63, 4 Sb 3.63
Hg  0.5000  0.5000  0.5000  4 K 3.63, 4 Ba 3.63
Ba  0.2500  0.2500  0.2500  4 Hg 3.63, 4 Sb 3.63


Record 8
An optimized crystal structure of Cs2RbHg. Source: Alexandria, functional PBE.

Summary:
Crystal system   tetragonal
Energy relative to the elements   -0.039 eV/atom
Relative energy among the computed polymorphs   0.34 eV/f.u.
Total magnetic moment   0.00 μB/cell
Density of states at the Fermi level   0.938 states/eV per atom

Cell: 6.1495 6.8147 6.8147 Å, 90.00 90.00 90.00°
Last column: nearest neighbours and their distance in Å.
Positions (direct):
Cs  0.0000  0.0000  0.5000  4 Hg 4.59, 4 Rb 4.59, 4 Cs 4.82
Cs  0.0000  0.5000  0.0000  4 Hg 4.59, 4 Rb 4.59, 4 Cs 4.82
Hg  0.5000  0.5000  0.5000  8 Cs 4.59, 4 Rb 4.82
Rb  0.5000  0.0000  0.0000  8 Cs 4.59, 4 Hg 4.82


Record 9
An optimized crystal structure of BaIn2Pd3. Source: Alexandria, functional PBE.

Summary:
Crystal system   orthorhombic
Energy relative to the elements   -0.567 eV/atom
Total magnetic moment   0.00 μB/cell
Density of states at the Fermi level   0.413 states/eV per atom

Cell: 6.0371 7.0035 7.0035 Å, 102.69 90.00 90.00°
Last column: nearest neighbours and their distance in Å.
Positions (direct):
Ba  0.2500  0.3094  0.3094  9 Pd 3.36-3.72
Ba  0.7500  0.6906  0.6906  9 Pd 3.36-3.72
In  0.5000  0.7936  0.2064  6 Pd 2.72-2.82, 2 In 3.02
In  0.0000  0.7936  0.2064  6 Pd 2.72-2.82, 2 In 3.02
In  0.0000  0.2064  0.7936  6 Pd 2.72-2.82, 2 In 3.02
In  0.5000  0.2064  0.7936  6 Pd 2.72-2.82, 2 In 3.02
Pd  0.7500  0.4684  0.0762  4 In 2.72-2.82, 1 Pd 2.76
Pd  0.7500  0.0762  0.4684  4 In 2.72-2.82, 1 Pd 2.76
Pd  0.2500  0.5316  0.9238  4 In 2.72-2.82, 1 Pd 2.76
Pd  0.7500  0.0744  0.0744  2 Pd 2.76, 4 In 2.79
Pd  0.2500  0.9256  0.9256  2 Pd 2.76, 4 In 2.79
Pd  0.2500  0.9238  0.5316  4 In 2.72-2.82, 1 Pd 2.76


Record 10
An optimized crystal structure of BaBe2SnS. Source: Alexandria, functional PBE.

Summary:
Crystal system   tetragonal
ΔE_f (raw)   1.864 eV/atom
Total magnetic moment   0.16 μB/cell
Density of states at the Fermi level   0.967 states/eV per atom

Cell: 5.4901 6.5888 5.4901 Å, 90.00 90.00 90.00°
Last column: nearest neighbours and their distance in Å.
Positions (direct):
Be  0.0000  0.0000  0.5000  2 Ba 2.75
Be  0.5000  0.0000  0.0000  2 Ba 2.75
S  0.5000  0.5000  0.5000  4 Sn 3.88, 8 Be 4.29
Ba  0.0000  0.0000  0.0000  4 Be 2.75
Sn  0.0000  0.5000  0.0000  2 Ba 3.29


Record 11
An optimized crystal structure of Ca2P2Cl. Source: Alexandria, functional PBE.

Summary:
Crystal system   tetragonal
ΔE_f (raw)   -1.246 eV/atom
Total magnetic moment   0.62 μB/cell
Density of states at the Fermi level   0.760 states/eV per atom

Cell: 7.7089 7.7089 3.9211 Å, 90.00 90.00 90.00°
Last column: nearest neighbours and their distance in Å.
Positions (direct):
P  0.0986  0.5986  0.5000  1 P 2.15
P  0.5986  0.9014  0.5000  1 P 2.15
P  0.9014  0.4014  0.5000  1 P 2.15
P  0.4014  0.0986  0.5000  1 P 2.15
Ca  0.3131  0.8131  0.0000  2 Cl 2.81, 6 P 3.02-3.05
Ca  0.8131  0.6869  0.0000  2 Cl 2.81, 6 P 3.02-3.05
Ca  0.6869  0.1869  0.0000  2 Cl 2.81, 6 P 3.02-3.05
Ca  0.1869  0.3131  0.0000  2 Cl 2.81, 6 P 3.02-3.05
Cl  0.0000  0.0000  0.0000  4 Ca 2.81
Cl  0.5000  0.5000  0.0000  4 Ca 2.81


Record 12
An optimized crystal structure of ThTaTiGe2. Source: Alexandria, functional PBE.

Summary:
Crystal system   tetragonal
Energy relative to the elements   -0.603 eV/atom
Total magnetic moment   0.00 μB/cell
Density of states at the Fermi level   0.416 states/eV per atom

Cell: 4.0865 4.0865 6.6954 Å, 107.77 107.77 90.00°
Last column: nearest neighbours and their distance in Å.
Positions (direct):
Th  0.0000  0.0000  0.0000  8 Ge 3.17
Ta  0.7500  0.2500  0.5000  4 Ge 2.67, 4 Ti 2.89
Ti  0.2500  0.7500  0.5000  4 Ge 2.67, 4 Ta 2.89
Ge  0.6074  0.6074  0.2149  1 Ge 2.60, 2 Ta 2.67, 2 Ti 2.67
Ge  0.3926  0.3926  0.7851  1 Ge 2.60, 2 Ta 2.67, 2 Ti 2.67